No. 1
Density functional theory data (PBE) for a relaxed structure of Tm6Ir2Ru.

The structure in POSCAR format:
```
Tm6Ir2Ru
1.0
-2.367 3.348 7.086
2.367 -3.348 7.086
2.367 3.348 -7.086
Tm Ir Ru
6 2 1
direct
0.083 0.334 0.749
0.248 0.000 0.248
0.415 0.666 0.749
0.585 0.334 0.251
0.752 0.000 0.752
0.917 0.666 0.251
0.333 0.833 0.500
0.667 0.167 0.500
0.000 0.500 0.500
```

Total magnetization in μB/cell: 0.00
Uncorrected energy in eV per atom: -6.61
DFT formation energy in kcal/mol of atoms: -14.5
Space group: Immm
Energy relative to the lowest polymorph listed for this composition in eV/f.u.: 0.00

No. 2
Density functional theory data (PBE) for a relaxed structure of Tm5IrRu2.

The structure in POSCAR format:
```
Tm5IrRu2
1.0
-3.580 3.580 7.006
3.580 -3.580 7.006
3.580 3.580 -7.006
Tm Ir Ru
10 2 4
direct
0.000 0.000 0.000
0.032 0.532 0.853
0.180 0.032 0.500
0.320 0.820 0.853
0.468 0.320 0.500
0.500 0.500 0.000
0.532 0.680 0.500
0.680 0.180 0.147
0.820 0.968 0.500
0.968 0.468 0.147
0.250 0.250 0.000
0.750 0.750 0.000
0.125 0.375 0.500
0.375 0.875 0.249
0.625 0.125 0.751
0.875 0.625 0.500
```

Total magnetization in μB/cell: 0.00
Uncorrected energy in eV per atom: -6.77
DFT formation energy in kcal/mol of atoms: -12.6
Space group: I4/mcm